VASP calculation (PBE+U) on an optimized crystal structure of Li2PuVO4.

Cell lengths 5.297, 3.345, 5.391 Å; angles 90.00, 107.04, 90.00 degrees
Fractional positions:
Li (0.000, 0.000, 0.000)
Li (0.000, 0.500, 0.500)
Pu (0.500, 0.000, 0.500)
V (0.500, 0.500, 0.000)
O (0.258, 0.500, 0.259)
O (0.268, 0.000, 0.777)
O (0.732, 0.000, 0.223)
O (0.742, 0.500, 0.741)

The space-group type is No. 10.



VASP calculation (PBE+U) on an optimized crystal structure of Li2PuVO8.

Cell lengths 4.291, 4.291, 8.776 Å; angles 90.00, 90.00, 120.00 degrees
Fractional positions:
Li (0.333, 0.667, 0.280)
Li (0.667, 0.333, 0.720)
Pu (0.000, 0.000, 0.000)
V (0.000, 0.000, 0.500)
O (0.018, 0.675, 0.856)
O (0.325, 0.343, 0.856)
O (0.333, 0.667, 0.494)
O (0.343, 0.018, 0.144)
O (0.657, 0.982, 0.856)
O (0.667, 0.333, 0.506)
O (0.675, 0.657, 0.144)
O (0.982, 0.325, 0.144)

The space-group type is No. 147.



no.,E_tot (eV/atom),density of states at the Fermi level (states/eV/f.u.)
1,-7.9333,2.3
2,-6.3617,10.2